Computed, not measured: a relaxed CeSmAl crystal at the PBE-GGA level of DFT.

Cell and atoms, written as extended XYZ:
```
6
Lattice="-1.932 -5.273 -0.118 1.731 -0.506 -5.726 5.209 -1.959 2.251" Properties=species:S:1:pos:R:3 pbc="T T T"
Sm 0.000 0.000 0.000
Sm 2.504 -3.869 -1.796
Al 4.543 -1.614 -2.275
Al 2.396 -0.851 -1.200
Ce 3.669 -4.356 0.877
Ce 1.338 -3.382 -4.470
```

Output
Its energy above the lowest structure with this stoichiometry is 950 meV per atom. For the calculated formation energy, the calculation gives 0.735 eV per atom. For the total magnetic moment, the calculation gives 3.41 μB per cell.

Computed, not measured: a relaxed CeSm2Al crystal at the PBE-GGA level of DFT.

Cell and atoms, written as extended XYZ:
```
4
Lattice="-4.540 -1.770 2.261 0.036 -1.762 5.075 -2.379 2.881 3.860" Properties=species:S:1:pos:R:3 pbc="T T T"
Ce 0.000 0.000 0.000
Sm -1.721 -0.163 2.799
Sm -5.162 -0.488 8.398
Al -3.442 -0.325 5.599
```

Output
Its energy above the lowest structure with this stoichiometry is 142 meV per atom. For the calculated formation energy, the calculation gives 0.000 eV per atom. For the total magnetic moment, the calculation gives 0.00 μB per cell.

Computed, not measured: a relaxed CeSm2Al crystal at the PBE-GGA level of DFT.

Cell and atoms, written as extended XYZ:
```
4
Lattice="-2.954 0.433 -3.550 0.998 -4.554 -1.386 -3.614 -1.646 2.807" Properties=species:S:1:pos:R:3 pbc="T T T"
Ce -2.785 -2.884 -1.064
Sm -1.807 -0.823 1.404
Sm 0.499 -2.277 -0.693
Al -1.477 0.216 -1.775
```

Output
Its energy above the lowest structure with this stoichiometry is 0 meV per atom. For the calculated formation energy, the calculation gives -0.142 eV per atom. For the total magnetic moment, the calculation gives 0.36 μB per cell.

Computed, not measured: a relaxed CeSmAl2 crystal at the PBE-GGA level of DFT.

Cell and atoms, written as extended XYZ:
```
4
Lattice="3.581 0.000 0.000 1.790 3.101 0.000 1.790 1.034 9.477" Properties=species:S:1:pos:R:3 pbc="T T T"
Ce 0.000 0.000 0.000
Sm 3.581 2.067 4.739
Al 5.371 3.101 7.114
Al 1.790 1.034 2.363
```

Output
For the calculated formation energy, the calculation gives -0.064 eV per atom. For the total magnetic moment, the calculation gives 0.32 μB per cell.

Computed, not measured: a relaxed CeSm5Al3 crystal at the PBE-GGA level of DFT.

Cell and atoms, written as extended XYZ:
```
18
Lattice="6.720 0.000 0.000 0.000 9.246 0.000 0.000 -4.623 8.007" Properties=species:S:1:pos:R:3 pbc="T T T"
Ce 0.000 0.000 0.000
Ce 3.360 0.000 0.000
Sm 0.000 4.623 2.671
Sm 3.360 0.000 5.336
Sm 0.000 0.000 5.336
Sm 3.360 4.623 2.671
Sm 5.040 3.108 5.384
Sm 5.040 7.731 2.624
Sm 5.040 3.031 0.000
Sm 1.680 1.515 2.624
Sm 1.680 -3.108 5.384
Sm 1.680 6.215 0.000
Al 5.040 1.558 2.699
Al 5.040 6.181 5.308
Al 5.040 6.130 0.000
Al 1.680 3.065 5.308
Al 1.680 -1.558 2.699
Al 1.680 3.116 0.000
```

Output
For the calculated formation energy, the calculation gives -0.227 eV per atom. For the total magnetic moment, the calculation gives 3.80 μB per cell.

Computed, not measured: a relaxed CeSmAl crystal at the PBE-GGA level of DFT.

Cell and atoms, written as extended XYZ:
```
3
Lattice="3.355 0.000 0.000 0.000 3.355 0.000 -1.677 -1.677 7.170" Properties=species:S:1:pos:R:3 pbc="T T T"
Ce 1.677 1.677 6.174
Sm 1.677 1.677 1.946
Al 0.000 0.000 4.068
```

Output
Its energy above the lowest structure with this stoichiometry is 70 meV per atom. For the calculated formation energy, the calculation gives -0.145 eV per atom. For the total magnetic moment, the calculation gives 0.78 μB per cell.

Computed, not measured: a relaxed CeSm2Al crystal at the PBE-GGA level of DFT.

Cell and atoms, written as extended XYZ:
```
4
Lattice="-2.797 -2.150 -0.415 1.447 -1.311 -2.967 4.123 -6.289 4.789" Properties=species:S:1:pos:R:3 pbc="T T T"
Ce 1.386 -4.875 0.704
Sm 3.212 -4.899 3.731
Sm 0.911 -1.389 1.058
Al -0.675 -1.730 -1.691
```

Output
Its energy above the lowest structure with this stoichiometry is 22 meV per atom. For the calculated formation energy, the calculation gives -0.121 eV per atom. For the total magnetic moment, the calculation gives 0.47 μB per cell.

Computed, not measured: a relaxed Ce4SmAl3 crystal at the PBE-GGA level of DFT.

Cell and atoms, written as extended XYZ:
```
8
Lattice="-0.586 -2.855 1.870 3.688 -2.674 -2.925 0.967 9.536 11.653" Properties=species:S:1:pos:R:3 pbc="T T T"
Ce 3.279 -1.942 1.269
Ce 0.790 5.950 9.329
Ce 2.105 2.856 8.225
Ce 1.963 1.152 2.373
Sm -0.293 -1.427 0.935
Al 1.844 -1.337 -1.463
Al 1.313 3.141 5.206
Al 2.756 0.866 5.392
```

Output
For the calculated formation energy, the calculation gives -0.119 eV per atom. For the total magnetic moment, the calculation gives 0.62 μB per cell.

Computed, not measured: a relaxed CeSmAl crystal at the PBE-GGA level of DFT.

Cell and atoms, written as extended XYZ:
```
6
Lattice="4.916 -0.071 -1.807 0.047 3.394 -0.008 -1.934 1.649 9.844" Properties=species:S:1:pos:R:3 pbc="T T T"
Ce 2.673 3.229 3.352
Ce 0.356 1.743 4.677
Sm 1.617 1.642 0.538
Sm 1.412 3.330 7.491
Al 4.370 3.337 0.371
Al -1.341 1.635 7.658
```

Output
Its energy above the lowest structure with this stoichiometry is 0 meV per atom. For the calculated formation energy, the calculation gives -0.215 eV per atom. For the total magnetic moment, the calculation gives 0.00 μB per cell.

Computed, not measured: a relaxed CeSm2Al6 crystal at the PBE-GGA level of DFT.

Cell and atoms, written as extended XYZ:
```
9
Lattice="-3.241 1.313 0.883 0.149 -4.195 6.781 2.953 7.407 -0.173" Properties=species:S:1:pos:R:3 pbc="T T T"
Ce 2.953 7.407 -0.173
Sm 2.018 3.539 2.145
Sm -2.158 0.985 5.347
Al -0.589 1.725 2.641
Al 0.449 2.799 4.851
Al 0.350 5.599 0.327
Al 1.431 5.264 4.794
Al -1.571 -0.740 2.698
Al -0.638 3.121 0.384
```

Output
For the calculated formation energy, the calculation gives -0.461 eV per atom. For the total magnetic moment, the calculation gives 0.59 μB per cell.

Computed, not measured: a relaxed CeSm2Al9 crystal at the PBE-GGA level of DFT.

Cell and atoms, written as extended XYZ:
```
12
Lattice="5.613 0.000 0.000 2.806 4.861 0.000 2.806 1.620 8.880" Properties=species:S:1:pos:R:3 pbc="T T T"
Ce 0.000 0.000 0.000
Sm 8.419 4.861 3.735
Sm 2.806 1.620 5.145
Al 5.613 3.241 0.041
Al 5.613 3.241 8.839
Al 5.613 3.241 4.440
Al 4.184 2.416 2.201
Al 7.042 2.416 2.201
Al 5.613 4.891 2.201
Al 7.042 4.066 6.679
Al 5.613 1.591 6.679
Al 4.184 4.066 6.679
```

Output
For the calculated formation energy, the calculation gives -0.388 eV per atom. For the total magnetic moment, the calculation gives 0.83 μB per cell.

Computed, not measured: a relaxed CeSmAl crystal at the PBE-GGA level of DFT.

Cell and atoms, written as extended XYZ:
```
3
Lattice="3.108 0.000 0.000 0.000 5.217 0.000 0.000 -2.609 4.518" Properties=species:S:1:pos:R:3 pbc="T T T"
Ce 0.514 0.000 3.012
Sm 0.523 0.000 0.000
Al 2.071 2.609 1.506
```

Output
Its energy above the lowest structure with this stoichiometry is 170 meV per atom. For the calculated formation energy, the calculation gives -0.045 eV per atom. For the total magnetic moment, the calculation gives 0.24 μB per cell.

The highest calculated formation energy belongs to which entry?
number 1

What is the calculated formation energy in the ninth record?
-0.215 eV per atom

The lowest calculated formation energy belongs to which entry?
CeSm2Al6